Record 1
Computed, not measured: PrSmTm3 after structural relaxation at the PBE level of DFT.

Results
- V: 323.2 Å³ per cell
- Offset from the most stable computed form: 0.0 meV per atom
- Density: 8200 kg/m3

a b c (Å): 6.2877 5.6691 9.5957
angles (deg): 90.00 109.09 90.00
With the nearest neighbours (Å) after each atom.
Space group P2_1/m (No. 11)
Inequivalent atoms, fractional coordinates:
Pr  0.2332  0.2500  0.3006 (multiplicity 2)  10 Tm 3.53-3.65, 2 Sm 3.62-3.64
Sm  0.3648  0.7500  0.8996 (multiplicity 2)  8 Tm 3.51-3.65, 2 Sm 3.54, 2 Pr 3.62-3.64
Tm  0.0351  0.2500  0.8992 (multiplicity 2)  4 Sm 3.51-3.64, 3 Pr 3.53-3.64, 5 Tm 3.54-3.65
Tm  0.1625  0.7500  0.5005 (multiplicity 2)  7 Tm 3.49-3.65, 4 Pr 3.53-3.65, 1 Sm 3.62
Tm  0.4324  0.2500  0.6984 (multiplicity 2)  6 Tm 3.52-3.65, 3 Pr 3.53-3.61, 3 Sm 3.53-3.65


Record 2
Computed, not measured: Y2ReN4 after structural relaxation at the PBE level of DFT.

Results
- V: 213.0 Å³ per cell
- Offset from the most stable computed form: 0.0 meV per atom
- Density: 6549 kg/m3
- Formation energy from raw total energies: -879 meV per atom

a b c (Å): 5.8477 5.8790 6.5007
angles (deg): 90.00 107.60 90.00
With the nearest neighbours (Å) after each atom.
Space group P2_1/m (No. 11)
Inequivalent atoms, fractional coordinates:
Y  0.1700  0.2500  0.0352 (multiplicity 2)  6 N 2.34-2.53
Y  0.2376  0.2500  0.5577 (multiplicity 2)  6 N 2.36-2.60
Re  0.2894  0.7500  0.8129 (multiplicity 2)  4 N 1.81-1.93
N  0.0473  0.5163  0.7550 (multiplicity 4)  1 Re 1.93
N  0.4710  0.7500  0.0922 (multiplicity 2)  1 Re 1.81
N  0.4826  0.7500  0.6389 (multiplicity 2)  1 Re 1.82